(1)
A relaxed structure of Al4CoOs3, computed with PBE.

Properties
- crystal system = tetragonal

Geometry as CIF:
```
data_Al4CoOs3
_chemical_formula_sum 'Al8 Co2 Os6'
_space_group_name_H-M_alt 'I 4/m m m'
_space_group_IT_number 139
_space_group_name_Hall '-I 4 2'
_cell_length_a 4.2015
_cell_length_b 4.2015
_cell_length_c 12.0529
_cell_angle_alpha 90.00
_cell_angle_beta 90.00
_cell_angle_gamma 90.00
loop_
_atom_site_label
_atom_site_type_symbol
_atom_site_fract_x
_atom_site_fract_y
_atom_site_fract_z
Al1 Al 0.0000 0.5000 0.1215
Co1 Co 0.0000 0.0000 0.0000
Os1 Os 0.0000 0.0000 0.2511
Os2 Os 0.0000 0.0000 0.5000
```

(2)
A relaxed structure of Al3CoOs, computed with PBE.

Properties
- polymorph energy (0 for the lowest one) (meV per atom) = 0
- crystal system = cubic

Geometry as CIF:
```
data_Al3CoOs
_chemical_formula_sum 'Al3 Co1 Os1'
_space_group_name_H-M_alt 'P m -3 m'
_space_group_IT_number 221
_space_group_name_Hall '-P 4 2 3'
_cell_length_a 4.2851
_cell_length_b 4.2851
_cell_length_c 4.2851
_cell_angle_alpha 90.00
_cell_angle_beta 90.00
_cell_angle_gamma 90.00
loop_
_atom_site_label
_atom_site_type_symbol
_atom_site_fract_x
_atom_site_fract_y
_atom_site_fract_z
Al1 Al 0.0000 0.0000 0.5000
Co1 Co 0.0000 0.0000 0.0000
Os1 Os 0.5000 0.5000 0.5000
```

(3)
A relaxed structure of Al2CoOs, computed with PBE.

Properties
- polymorph energy (0 for the lowest one) (meV per atom) = 159
- crystal system = orthorhombic

Geometry as CIF:
```
data_Al2CoOs
_chemical_formula_sum 'Al4 Co2 Os2'
_space_group_name_H-M_alt 'I m m 2'
_space_group_IT_number 44
_space_group_name_Hall 'I 2 -2'
_cell_length_a 3.0077
_cell_length_b 4.0505
_cell_length_c 8.6663
_cell_angle_alpha 90.00
_cell_angle_beta 90.00
_cell_angle_gamma 90.00
loop_
_atom_site_label
_atom_site_type_symbol
_atom_site_fract_x
_atom_site_fract_y
_atom_site_fract_z
Al1 Al 0.0000 0.0000 0.0000
Al2 Al 0.0000 0.5000 0.2267
Co1 Co 0.0000 0.5000 0.7317
Os1 Os 0.0000 0.0000 0.4735
```

(4)
A relaxed structure of AlCo2Os, computed with PBE.

Properties
- crystal system = orthorhombic

Geometry as CIF:
```
data_AlCo2Os
_chemical_formula_sum 'Al1 Co2 Os1'
_space_group_name_H-M_alt 'P m m 2'
_space_group_IT_number 25
_space_group_name_Hall 'P 2 -2'
_cell_length_a 2.6661
_cell_length_b 3.5089
_cell_length_c 5.2548
_cell_angle_alpha 90.00
_cell_angle_beta 90.00
_cell_angle_gamma 90.00
loop_
_atom_site_label
_atom_site_type_symbol
_atom_site_fract_x
_atom_site_fract_y
_atom_site_fract_z
Al1 Al 0.0000 0.0000 0.0000
Co1 Co 0.0000 0.0000 0.4793
Co2 Co 0.5000 0.5000 0.2244
Os1 Os 0.5000 0.5000 0.7028
```

(5)
A relaxed structure of AlCo2Os, computed with PBE.

Properties
- crystal system = monoclinic

Geometry as CIF:
```
data_AlCo2Os
_chemical_formula_sum 'Al1 Co2 Os1'
_space_group_name_H-M_alt 'P 1 m 1'
_space_group_IT_number 6
_space_group_name_Hall 'P -2y'
_cell_length_a 2.6360
_cell_length_b 3.9885
_cell_length_c 4.8284
_cell_angle_alpha 90.00
_cell_angle_beta 105.71
_cell_angle_gamma 90.00
loop_
_atom_site_label
_atom_site_type_symbol
_atom_site_fract_x
_atom_site_fract_y
_atom_site_fract_z
Al1 Al 0.0000 0.0000 0.0000
Co1 Co 0.5863 0.5000 0.1734
Co2 Co 0.7353 0.0000 0.4730
Os1 Os 0.3249 0.5000 0.6536
```

(6)
A relaxed structure of Al5Co4Os, computed with PBE.

Properties
- crystal system = tetragonal

Geometry as CIF:
```
data_Al5Co4Os
_chemical_formula_sum 'Al5 Co4 Os1'
_space_group_name_H-M_alt 'P 4/m m m'
_space_group_IT_number 123
_space_group_name_Hall '-P 4 2'
_cell_length_a 2.8990
_cell_length_b 2.8990
_cell_length_c 14.4217
_cell_angle_alpha 90.00
_cell_angle_beta 90.00
_cell_angle_gamma 90.00
loop_
_atom_site_label
_atom_site_type_symbol
_atom_site_fract_x
_atom_site_fract_y
_atom_site_fract_z
Al1 Al 0.0000 0.0000 0.0000
Al2 Al 0.0000 0.0000 0.1962
Al3 Al 0.0000 0.0000 0.3925
Co1 Co 0.5000 0.5000 0.0976
Co2 Co 0.5000 0.5000 0.2922
Os1 Os 0.5000 0.5000 0.5000
```

(7)
A relaxed structure of AlCo2Os, computed with PBE.

Properties
- crystal system = orthorhombic

Geometry as CIF:
```
data_AlCo2Os
_chemical_formula_sum 'Al2 Co4 Os2'
_space_group_name_H-M_alt 'I m m 2'
_space_group_IT_number 44
_space_group_name_Hall 'I 2 -2'
_cell_length_a 2.9287
_cell_length_b 4.1421
_cell_length_c 8.2256
_cell_angle_alpha 90.00
_cell_angle_beta 90.00
_cell_angle_gamma 90.00
loop_
_atom_site_label
_atom_site_type_symbol
_atom_site_fract_x
_atom_site_fract_y
_atom_site_fract_z
Al1 Al 0.0000 0.0000 0.0000
Co1 Co 0.0000 0.0000 0.4878
Co2 Co 0.0000 0.5000 0.7409
Os1 Os 0.0000 0.5000 0.2419
```

(8)
A relaxed structure of Al2CoOs, computed with PBE.

Properties
- polymorph energy (0 for the lowest one) (meV per atom) = 314
- crystal system = monoclinic

Geometry as CIF:
```
data_Al2CoOs
_chemical_formula_sum 'Al2 Co1 Os1'
_space_group_name_H-M_alt 'P 1 2/m 1'
_space_group_IT_number 10
_space_group_name_Hall '-P 2y'
_cell_length_a 2.7197
_cell_length_b 3.9521
_cell_length_c 4.9768
_cell_angle_alpha 90.00
_cell_angle_beta 95.78
_cell_angle_gamma 90.00
loop_
_atom_site_label
_atom_site_type_symbol
_atom_site_fract_x
_atom_site_fract_y
_atom_site_fract_z
Al1 Al 0.1836 0.0000 0.2575
Co1 Co 0.0000 0.5000 0.5000
Os1 Os 0.5000 0.5000 0.0000
```

Table of total energy (eV per atom), in record order: -7.41; -5.41; -6.80; -7.34; -7.44; -6.39; -7.38; -6.65